[1]
Co2RhAu: relaxed, GGA-PBE.

```
data_Co2RhAu
_chemical_formula_sum 'Co8 Rh4 Au4'
_cell_length_a 6.7883
_cell_length_b 6.7883
_cell_length_c 5.3062
_cell_angle_alpha 90.00
_cell_angle_beta 90.00
_cell_angle_gamma 90.00
_space_group_name_H-M_alt 'I -4 2 d'
_space_group_IT_number 122
_space_group_name_Hall 'I -4 2bw'
loop_
_atom_site_label
_atom_site_type_symbol
_atom_site_fract_x
_atom_site_fract_y
_atom_site_fract_z
Co1 Co 0.2266 0.2500 0.1250
Rh1 Rh 0.0000 0.0000 0.0000
Au1 Au 0.0000 0.0000 0.5000
```

The calculation puts the total energy at -5.6326 eV per atom. As for the volume: 245 Å³/cell.


[2]
Hf12VBi6: relaxed, GGA-PBE.

```
data_Hf12VBi6
_chemical_formula_sum 'Hf36 V3 Bi18'
_cell_length_a 10.9910
_cell_length_b 10.9910
_cell_length_c 12.6510
_cell_angle_alpha 90.00
_cell_angle_beta 90.00
_cell_angle_gamma 120.00
_space_group_name_H-M_alt 'R -3'
_space_group_IT_number 148
_space_group_name_Hall '-R 3'
loop_
_atom_site_label
_atom_site_type_symbol
_atom_site_fract_x
_atom_site_fract_y
_atom_site_fract_z
Hf1 Hf 0.0434 0.8661 0.3164
Hf2 Hf 0.0601 0.2042 0.9094
V1 V 0.0000 0.0000 0.5000
Bi1 Bi 0.0224 0.5945 0.2123
```

The calculation puts the total energy at -7.8986 eV per atom. As for the volume: 1324 Å³/cell.


[3]
KIn2Rh: relaxed, GGA-PBE.

```
data_KIn2Rh
_chemical_formula_sum 'K4 In8 Rh4'
_cell_length_a 6.2957
_cell_length_b 6.2957
_cell_length_c 15.9930
_cell_angle_alpha 90.00
_cell_angle_beta 90.00
_cell_angle_gamma 90.00
_space_group_name_H-M_alt 'I 41/a m d'
_space_group_IT_number 141
loop_
_space_group_symop_operation_xyz
'x,y,z'
'-x,-y,-z'
'-y+1/4,x+3/4,z+1/4'
'y+1/4,-x+3/4,-z+1/4'
'-x+1/2,-y,z+1/2'
'x+1/2,y,-z+1/2'
'y+1/4,-x+1/4,z+3/4'
'-y+1/4,x+1/4,-z+3/4'
'x,-y,-z'
'-x,y,z'
'-y+1/4,-x+1/4,-z+3/4'
'y+1/4,x+1/4,z+3/4'
'-x+1/2,y,-z+1/2'
'x+1/2,-y,z+1/2'
'y+1/4,x+3/4,-z+1/4'
'-y+1/4,-x+3/4,z+1/4'
'x+1/2,y+1/2,z+1/2'
'-x+1/2,-y+1/2,-z+1/2'
'-y+3/4,x+1/4,z+3/4'
'y+3/4,-x+1/4,-z+3/4'
'-x,-y+1/2,z'
'x,y+1/2,-z'
'y+3/4,-x+3/4,z+1/4'
'-y+3/4,x+3/4,-z+1/4'
'x+1/2,-y+1/2,-z+1/2'
'-x+1/2,y+1/2,z+1/2'
'-y+3/4,-x+3/4,-z+1/4'
'y+3/4,x+3/4,z+1/4'
'-x,y+1/2,-z'
'x,-y+1/2,z'
'y+3/4,x+1/4,-z+3/4'
'-y+3/4,-x+1/4,z+3/4'
loop_
_atom_site_label
_atom_site_type_symbol
_atom_site_fract_x
_atom_site_fract_y
_atom_site_fract_z
K1 K 0.0000 0.2500 0.3750
In1 In 0.0000 0.0000 0.0000
Rh1 Rh 0.0000 0.2500 0.8750
```

The calculation puts the total energy at -3.4599 eV per atom. As for the volume: 634 Å³/cell.


[4]
Cr3Ni2Rh4: relaxed, GGA-PBE.

```
data_Cr3Ni2Rh4
_chemical_formula_sum 'Cr12 Ni8 Rh16'
_cell_length_a 12.1102
_cell_length_b 8.6472
_cell_length_c 4.5376
_cell_angle_alpha 90.00
_cell_angle_beta 100.12
_cell_angle_gamma 90.00
_space_group_name_H-M_alt 'C 1 2/c 1'
_space_group_IT_number 15
_space_group_name_Hall '-C 2yc'
loop_
_atom_site_label
_atom_site_type_symbol
_atom_site_fract_x
_atom_site_fract_y
_atom_site_fract_z
Cr1 Cr 0.0000 0.1217 0.2500
Cr2 Cr 0.1703 0.3731 0.0742
Ni1 Ni 0.1034 0.1256 0.8112
Rh1 Rh 0.0594 0.3709 0.5281
Rh2 Rh 0.2127 0.1201 0.3613
```

The calculation puts the total energy at -7.7180 eV per atom. As for the volume: 468 Å³/cell.


[5]
LiRu2NF: relaxed, GGA-PBE.

```
data_LiRu2NF
_chemical_formula_sum 'Li1 Ru2 N1 F1'
_cell_length_a 3.8086
_cell_length_b 3.8086
_cell_length_c 5.8125
_cell_angle_alpha 90.00
_cell_angle_beta 90.00
_cell_angle_gamma 90.00
_space_group_name_H-M_alt 'P 4/m m m'
_space_group_IT_number 123
_space_group_name_Hall '-P 4 2'
loop_
_atom_site_label
_atom_site_type_symbol
_atom_site_fract_x
_atom_site_fract_y
_atom_site_fract_z
Li1 Li 0.0000 0.0000 0.0000
Ru1 Ru 0.0000 0.5000 0.5000
N1 N 0.5000 0.5000 0.5000
F1 F 0.5000 0.5000 0.0000
```

As for the volume: 84 Å³/cell. For the formation energy from raw total energies, the calculation gives -0.0371 eV/atom.


[6]
CrRh2Pb: relaxed, GGA-PBE.

```
data_CrRh2Pb
_chemical_formula_sum 'Cr2 Rh4 Pb2'
_cell_length_a 3.9838
_cell_length_b 3.9838
_cell_length_c 8.2220
_cell_angle_alpha 90.00
_cell_angle_beta 90.00
_cell_angle_gamma 90.00
_space_group_name_H-M_alt 'I -4 m 2'
_space_group_IT_number 119
_space_group_name_Hall 'I -4 -2'
loop_
_atom_site_label
_atom_site_type_symbol
_atom_site_fract_x
_atom_site_fract_y
_atom_site_fract_z
Cr1 Cr 0.0000 0.0000 0.0000
Rh1 Rh 0.0000 0.0000 0.5000
Rh2 Rh 0.0000 0.5000 0.2500
Pb1 Pb 0.0000 0.5000 0.7500
```

The calculation puts the total energy at -6.8863 eV per atom. As for the volume: 130 Å³/cell.


> Among the records above, which one has the highest volume?

Hf12VBi6


Repeat the fourth record exactly.
Cr3Ni2Rh4: relaxed, GGA-PBE.

```
data_Cr3Ni2Rh4
_chemical_formula_sum 'Cr12 Ni8 Rh16'
_cell_length_a 12.1102
_cell_length_b 8.6472
_cell_length_c 4.5376
_cell_angle_alpha 90.00
_cell_angle_beta 100.12
_cell_angle_gamma 90.00
_space_group_name_H-M_alt 'C 1 2/c 1'
_space_group_IT_number 15
_space_group_name_Hall '-C 2yc'
loop_
_atom_site_label
_atom_site_type_symbol
_atom_site_fract_x
_atom_site_fract_y
_atom_site_fract_z
Cr1 Cr 0.0000 0.1217 0.2500
Cr2 Cr 0.1703 0.3731 0.0742
Ni1 Ni 0.1034 0.1256 0.8112
Rh1 Rh 0.0594 0.3709 0.5281
Rh2 Rh 0.2127 0.1201 0.3613
```

The calculation puts the total energy at -7.7180 eV per atom. As for the volume: 468 Å³/cell.


> The lowest volume belongs to which entry?

LiRu2NF